1.
A plane-wave DFT calculation with SCAN was carried out for a PBEsol-optimized structure of Ge2Te5As2.

Properties
- calculated density (Mg/m³) = 6.5
- total magnetic moment (μB per cell) = 0.00
- DOS(E_F) (states/eV/f.u.) = 0.1
- formation energy without anion corrections (eV/atom) = -0.015
- crystal system = trigonal

Lattice parameters (Å, degrees): 4.1026 4.1026 16.3128 90.00 90.00 120.00
Space group P-3m1 (No. 164)
Symmetry-distinct sites (fractional):
Ge: 0.3333 0.6667 0.1071 x2
Te: 0.0000 0.0000 0.0000 x1
Te: 0.3333 0.6667 0.4184 x2
Te: 0.3333 0.6667 0.7881 x2
As: 0.0000 0.0000 0.3233 x2

***

2.
A plane-wave DFT calculation with SCAN was carried out for a PBEsol-optimized structure of TlGeAs3.

Properties
- calculated density (Mg/m³) = 6.8
- total magnetic moment (μB per cell) = 0.00
- DOS(E_F) (states/eV/f.u.) = 4.2
- E_form (meV/atom) = 638
- crystal system = cubic

Lattice parameters (Å, degrees): 4.9642 4.9642 4.9642 90.00 90.00 90.00
Space group Pm-3m (No. 221)
Symmetry-distinct sites (fractional):
Tl: 0.0000 0.0000 0.0000 x1
Ge: 0.5000 0.5000 0.5000 x1
As: 0.0000 0.5000 0.5000 x3

***

3.
A plane-wave DFT calculation with SCAN was carried out for a PBEsol-optimized structure of ZnGeAs2.

Properties
- calculated density (Mg/m³) = 5.3
- total magnetic moment (μB per cell) = 0.00
- DOS(E_F) (states/eV/f.u.) = 0.5
- E_form (meV/atom) = -130
- crystal system = trigonal
- offset from the most stable computed form (meV per atom) = 70

Lattice parameters (Å, degrees): 4.0111 4.0111 19.4190 90.00 90.00 120.00
Space group R3m (No. 160, hexagonal axes)
Symmetry-distinct sites (fractional):
Zn: 0.0000 0.0000 0.0000 x3
Ge: 0.0000 0.0000 0.4845 x3
As: 0.0000 0.0000 0.3613 x3
As: 0.0000 0.0000 0.8709 x3

***

4.
A plane-wave DFT calculation with SCAN was carried out for a PBEsol-optimized structure of ZnGeAs2.

Properties
- calculated density (Mg/m³) = 5.3
- total magnetic moment (μB per cell) = 0.00
- E_form (meV/atom) = -199
- crystal system = tetragonal
- offset from the most stable computed form (meV per atom) = 0

Lattice parameters (Å, degrees): 5.6577 5.6577 11.1823 90.00 90.00 90.00
Space group I-42d (No. 122)
Symmetry-distinct sites (fractional):
Zn: 0.0000 0.0000 0.0000 x4
Ge: 0.0000 0.0000 0.5000 x4
As: 0.2488 0.2500 0.1250 x8

***

5.
A plane-wave DFT calculation with SCAN was carried out for a PBEsol-optimized structure of ZnGeAs2.

Properties
- calculated density (Mg/m³) = 5.3
- total magnetic moment (μB per cell) = 0.00
- DOS(E_F) (states/eV/f.u.) = 0.2
- E_form (meV/atom) = -173
- crystal system = tetragonal
- offset from the most stable computed form (meV per atom) = 26

Lattice parameters (Å, degrees): 3.9773 3.9773 5.6582 90.00 90.00 90.00
Space group P-4m2 (No. 115)
Symmetry-distinct sites (fractional):
Zn: 0.0000 0.0000 0.0000 x1
Ge: 0.5000 0.5000 0.5000 x1
As: 0.0000 0.5000 0.7586 x2

***

6.
A plane-wave DFT calculation with SCAN was carried out for a PBEsol-optimized structure of ZrGeAs.

Properties
- calculated density (Mg/m³) = 7.2
- total magnetic moment (μB per cell) = 0.00
- DOS(E_F) (states/eV/f.u.) = 1.5
- E_form (meV/atom) = -781
- crystal system = orthorhombic

Lattice parameters (Å, degrees): 6.6032 3.6118 9.2914 90.00 90.00 90.00
Space group Pnma (No. 62)
Symmetry-distinct sites (fractional):
Zr: 0.2236 0.2500 0.1616 x4
Ge: 0.1230 0.2500 0.4563 x4
As: 0.1035 0.2500 0.8521 x4

***

7.
A plane-wave DFT calculation with SCAN was carried out for a PBEsol-optimized structure of ZrGeAs2.

Properties
- calculated density (Mg/m³) = 4.9
- total magnetic moment (μB per cell) = 0.00
- DOS(E_F) (states/eV/f.u.) = 0.9
- E_form (meV/atom) = -192
- crystal system = tetragonal

Lattice parameters (Å, degrees): 5.9990 5.9990 11.7874 90.00 90.00 90.00
Space group I-42d (No. 122)
Symmetry-distinct sites (fractional):
Zr: 0.0000 0.0000 0.0000 x4
Ge: 0.0000 0.0000 0.5000 x4
As: 0.2437 0.2500 0.6250 x8

***

8.
A plane-wave DFT calculation with SCAN was carried out for a PBEsol-optimized structure of Hf3AsH.

Properties
- E_tot (eV/atom) = -42.70
- calculated density (Mg/m³) = 13.2
- total magnetic moment (μB per cell) = 0.00
- DOS(E_F) (states/eV/f.u.) = 3.4
- crystal system = cubic

Lattice parameters (Å, degrees): 4.2576 4.2576 4.2576 90.00 90.00 90.00
Space group Pm-3m (No. 221)
Symmetry-distinct sites (fractional):
Hf: 0.0000 0.0000 0.5000 x3
As: 0.5000 0.5000 0.5000 x1
H: 0.0000 0.0000 0.0000 x1

***

9.
A plane-wave DFT calculation with SCAN was carried out for a PBEsol-optimized structure of ZnHgAsHO5.

Properties
- E_tot (eV/atom) = -16.35
- calculated density (Mg/m³) = 6.7
- total magnetic moment (μB per cell) = 0.00
- DOS(E_F) (states/eV/f.u.) = 0.0
- crystal system = orthorhombic

Lattice parameters (Å, degrees): 7.5971 6.2805 8.7217 90.00 90.00 90.00
Space group Pnma (No. 62)
Symmetry-distinct sites (fractional):
Zn: 0.0000 0.0000 0.0000 x4
Hg: 0.1178 0.2500 0.3238 x4
As: 0.1385 0.2500 0.6786 x4
H: 0.2331 0.7500 0.5385 x4
O: 0.0237 0.7500 0.4625 x4
O: 0.1264 0.0213 0.7854 x8
O: 0.1432 0.2500 0.0787 x4
O: 0.1717 0.7500 0.0692 x4

***

10.
A plane-wave DFT calculation with SCAN was carried out for a PBEsol-optimized structure of As3HI.

Properties
- E_tot (eV/atom) = -19.18
- calculated density (Mg/m³) = 6.7
- total magnetic moment (μB per cell) = 0.00
- DOS(E_F) (states/eV/f.u.) = 2.5
- crystal system = cubic

Lattice parameters (Å, degrees): 4.4465 4.4465 4.4465 90.00 90.00 90.00
Space group Pm-3m (No. 221)
Symmetry-distinct sites (fractional):
As: 0.0000 0.0000 0.5000 x3
H: 0.0000 0.0000 0.0000 x1
I: 0.5000 0.5000 0.5000 x1

***

11.
A plane-wave DFT calculation with SCAN was carried out for a PBEsol-optimized structure of AsH2OsI.

Properties
- E_tot (eV/atom) = -25.85
- calculated density (Mg/m³) = 8.2
- total magnetic moment (μB per cell) = 1.04
- DOS(E_F) (states/eV/f.u.) = 2.2
- crystal system = tetragonal

Lattice parameters (Å, degrees): 3.6627 3.6627 5.9213 90.00 90.00 90.00
Space group P4/mmm (No. 123)
Symmetry-distinct sites (fractional):
As: 0.0000 0.0000 0.0000 x1
H: 0.0000 0.5000 0.0000 x2
Os: 0.5000 0.5000 0.5000 x1
I: 0.0000 0.0000 0.5000 x1

***

12.
A plane-wave DFT calculation with SCAN was carried out for a PBEsol-optimized structure of InAsHSe2.

Properties
- E_tot (eV/atom) = -18.38
- calculated density (Mg/m³) = 4.0
- total magnetic moment (μB per cell) = 2.03
- DOS(E_F) (states/eV/f.u.) = 4.5
- crystal system = tetragonal

Lattice parameters (Å, degrees): 5.2609 5.2609 5.2446 90.00 90.00 90.00
Space group P4/mmm (No. 123)
Symmetry-distinct sites (fractional):
In: 0.0000 0.0000 0.0000 x1
As: 0.0000 0.0000 0.5000 x1
H: 0.5000 0.5000 0.5000 x1
Se: 0.0000 0.5000 0.0000 x2